TlAs2Os | GGA-PBE | relaxed

abc: 4.4966 4.4966 7.0962
angles: 76.05 76.05 41.38
Last column: nearest neighbours and their distance in Å.
Positions (direct):
As (0.8285, 0.8285, 0.5990)  3 Os 2.46-2.50
As (0.9718, 0.9718, 0.9555)  2 Os 2.42
Tl (0.1741, 0.1741, 0.2567)  4 As 3.06-3.27, 2 Tl 3.18, 2 Os 3.39
Os (0.5257, 0.5257, 0.6888)  5 As 2.42-2.50

Results
Total moment in Bohr magnetons per cell: 0.00
E in eV/atom: -5.5416
Formation energy in eV per atom: 0.18

***

KAlPb | GGA-PBE | relaxed

abc: 6.1196 6.1196 10.6128
angles: 90.00 90.00 120.00
Last column: nearest neighbours and their distance in Å.
Positions (direct):
K (0.6667, 0.3333, 0.7500)  3 Al 3.53
Pb (0.0000, 0.0000, 0.5000)  2 Al 2.65
Al (0.0000, 0.0000, 0.7500)  2 Pb 2.65
K (0.3333, 0.6667, 0.2500)  3 Al 3.53
Al (0.0000, 0.0000, 0.2500)  2 Pb 2.65
Pb (0.0000, 0.0000, 0.0000)  2 Al 2.65

Results
Total moment in Bohr magnetons per cell: 0.00
E in eV/atom: -2.3259
Formation energy in eV per atom: 0.52

***

Tb2Cd3Sn3 | GGA-PBE | relaxed

abc: 4.7822 4.6186 8.9250
angles: 90.00 90.00 90.00
Last column: nearest neighbours and their distance in Å.
Positions (direct):
Cd (0.5000, 0.5000, 0.7596)  2 Cd 3.15, 6 Sn 3.21-3.33, 4 Tb 3.33
Sn (0.0000, 0.5000, 0.0000)  8 Cd 3.21-3.32, 4 Tb 3.24
Cd (0.5000, 0.5000, 0.2404)  2 Cd 3.15, 6 Sn 3.21-3.33, 4 Tb 3.33
Tb (0.0000, 0.0000, 0.7448)  6 Sn 3.18-3.24, 6 Cd 3.30-3.33
Sn (0.0000, 0.5000, 0.5000)  4 Tb 3.18, 4 Sn 3.32, 4 Cd 3.33
Sn (0.5000, 0.0000, 0.5000)  4 Tb 3.24, 4 Cd 3.27, 4 Sn 3.32
Tb (0.0000, 0.0000, 0.2552)  6 Sn 3.18-3.24, 6 Cd 3.30-3.33
Cd (0.5000, 0.0000, 0.0000)  4 Cd 3.15, 4 Tb 3.30, 4 Sn 3.32

Results
Total moment in Bohr magnetons per cell: 0.00
E in eV/atom: -3.4486
Formation energy in eV per atom: -0.45

***

DyBeCo | GGA-PBE | relaxed

abc: 5.1261 5.4161 4.3663
angles: 90.00 125.94 90.00
Last column: nearest neighbours and their distance in Å.
Positions (direct):
Co (0.0000, 0.5000, 0.0000)  2 Be 2.22
Dy (0.3476, 0.7500, 0.6951)  5 Be 2.65-2.86, 2 Co 2.81
Be (0.2482, 0.2500, 0.4964)  2 Co 2.22
Dy (0.6524, 0.2500, 0.3049)  5 Be 2.65-2.86, 2 Co 2.81
Be (0.7518, 0.7500, 0.5036)  2 Co 2.22
Co (0.0000, 0.0000, 0.0000)  2 Be 2.22

Results
Total moment in Bohr magnetons per cell: 1.16
E in eV/atom: -5.0066
Formation energy in eV per atom: 0.14

***

HfSc3Fe8 | GGA-PBE | relaxed

abc: 4.9316 4.9316 8.5204
angles: 73.18 73.18 60.00
Last column: nearest neighbours and their distance in Å.
Positions (direct):
Sc (0.4991, 0.4991, 0.5028)  12 Fe 2.87-2.90, 1 Sc 2.99, 3 Hf 3.03
Fe (0.9361, 0.4374, 0.1891)  6 Fe 2.45-2.47
Fe (0.4374, 0.9361, 0.1891)  6 Fe 2.45-2.47
Hf (0.8753, 0.8753, 0.3741)  12 Fe 2.88-2.89, 4 Sc 3.03
Fe (0.1875, 0.1875, 0.4376)  6 Fe 2.45
Fe (0.9375, 0.4390, 0.6859)  6 Fe 2.45-2.47
Fe (0.6875, 0.6875, 0.9375)  6 Fe 2.47
Fe (0.4390, 0.9375, 0.6859)  6 Fe 2.45-2.47
Sc (0.0009, 0.0009, 0.9974)  12 Fe 2.88-2.91, 3 Sc 3.01, 1 Hf 3.03
Fe (0.9375, 0.9375, 0.6859)  6 Fe 2.45-2.47
Sc (0.3748, 0.3748, 0.8757)  12 Fe 2.89-2.90, 4 Sc 2.99-3.01
Fe (0.4374, 0.4374, 0.1891)  6 Fe 2.45-2.47

Results
Total moment in Bohr magnetons per cell: 11.78
E in eV/atom: -8.3486
Formation energy in eV per atom: -0.29

***

Ca2YCr | GGA-PBE | relaxed

abc: 5.5607 5.5607 5.5607
angles: 60.00 60.00 60.00
Last column: nearest neighbours and their distance in Å.
Positions (direct):
Ca (0.2500, 0.2500, 0.2500)  4 Y 3.41, 4 Cr 3.41
Ca (0.7500, 0.7500, 0.7500)  4 Y 3.41, 4 Cr 3.41
Y (0.5000, 0.5000, 0.5000)  8 Ca 3.41
Cr (0.0000, 0.0000, 0.0000)  8 Ca 3.41

Results
Total moment in Bohr magnetons per cell: 4.29
E in eV/atom: -4.5316
Formation energy in eV per atom: 0.49

***

Zr3FeRe | GGA-PBE | relaxed

abc: 4.6926 4.6926 4.6926
angles: 90.00 90.00 90.00
Last column: nearest neighbours and their distance in Å.
Positions (direct):
Zr (0.5000, 0.0000, 0.0000)  2 Fe 2.35
Zr (0.0000, 0.0000, 0.5000)  2 Fe 2.35
Fe (0.0000, 0.0000, 0.0000)  6 Zr 2.35
Zr (0.0000, 0.5000, 0.0000)  2 Fe 2.35
Re (0.5000, 0.5000, 0.5000)  12 Zr 3.32

Results
Total moment in Bohr magnetons per cell: 0.00
E in eV/atom: -8.6667
Formation energy in eV per atom: 0.64

***

BaReTe2 | GGA-PBE | relaxed

abc: 3.4454 3.4454 9.9541
angles: 90.00 90.00 90.00
Last column: nearest neighbours and their distance in Å.
Positions (direct):
Re (0.5000, 0.5000, 0.7864)  4 Te 2.72
Te (0.0000, 0.0000, 0.9081)  4 Re 2.72
Te (0.5000, 0.5000, 0.2672)  4 Te 3.45, 4 Ba 3.64
Ba (0.0000, 0.0000, 0.5383)  4 Ba 3.45, 4 Re 3.47, 5 Te 3.64-3.68

Results
Total moment in Bohr magnetons per cell: 0.00
Formation energy (no corrections) in eV/atom: 0.122
E in eV/atom: -5.0415

***

HfCrFe2C | GGA-PBE | relaxed

abc: 3.8442 3.8442 3.9332
angles: 90.00 90.00 90.00
Last column: nearest neighbours and their distance in Å.
Positions (direct):
Cr (0.0000, 0.0000, 0.5000)  2 C 1.97
Hf (0.5000, 0.5000, 0.5000)  4 Cr 2.72, 8 Fe 2.75
Fe (0.5000, 0.0000, 0.0000)  2 C 1.92
Fe (0.0000, 0.5000, 0.0000)  2 C 1.92
C (0.0000, 0.0000, 0.0000)  4 Fe 1.92, 2 Cr 1.97

Results
Total moment in Bohr magnetons per cell: 1.28
E in eV/atom: -9.3029
Formation energy in eV per atom: -0.16

***

CsHf3Rh | GGA-PBE | relaxed

abc: 5.1326 5.1326 5.1326
angles: 90.00 90.00 90.00
Last column: nearest neighbours and their distance in Å.
Positions (direct):
Rh (0.5000, 0.5000, 0.5000)  12 Hf 3.63
Hf (0.5000, 0.0000, 0.0000)  2 Cs 2.57
Cs (0.0000, 0.0000, 0.0000)  6 Hf 2.57
Hf (0.0000, 0.0000, 0.5000)  2 Cs 2.57
Hf (0.0000, 0.5000, 0.0000)  2 Cs 2.57

Results
Total moment in Bohr magnetons per cell: 0.00
E in eV/atom: -5.1359
Formation energy in eV per atom: 2.48

***

Ac3InTe6 | GGA-PBE | relaxed

abc: 7.8298 10.3091 10.3091
angles: 102.48 90.00 90.00
Last column: nearest neighbours and their distance in Å.
Positions (direct):
Te (0.1710, 0.0357, 0.9643)  1 In 2.89
Ac (0.9817, 0.7191, 0.9149)  7 Te 3.26-3.54
Te (0.2049, 0.4368, 0.9066)  1 In 2.84
Te (0.1840, 0.6922, 0.6307)  4 Ac 3.26-3.36
Te (0.7049, 0.5632, 0.0934)  1 In 2.84
Te (0.2049, 0.0934, 0.5632)  1 In 2.84
Ac (0.4817, 0.9149, 0.7191)  7 Te 3.26-3.54
Te (0.7049, 0.9066, 0.4368)  1 In 2.84
In (0.0221, 0.2003, 0.7997)  4 Te 2.83-2.89
Te (0.6840, 0.3078, 0.3693)  4 Ac 3.26-3.36
Ac (0.4817, 0.2809, 0.0851)  7 Te 3.26-3.54
In (0.5221, 0.7997, 0.2003)  4 Te 2.83-2.89
Ac (0.3877, 0.4006, 0.5994)  7 Te 3.31-3.61
Ac (0.9817, 0.0851, 0.2809)  7 Te 3.26-3.54
Te (0.1840, 0.3693, 0.3078)  4 Ac 3.26-3.36
Te (0.1633, 0.7790, 0.2210)  1 In 2.83
Te (0.6633, 0.2210, 0.7790)  1 In 2.83
Ac (0.8877, 0.5994, 0.4006)  7 Te 3.31-3.61
Te (0.6710, 0.9643, 0.0357)  1 In 2.89
Te (0.6840, 0.6307, 0.6922)  4 Ac 3.26-3.36

Results
Total moment in Bohr magnetons per cell: 0.00
Formation energy (no corrections) in eV/atom: -1.271
E in eV/atom: -4.6620

***

ScMoP2 | GGA-PBE | relaxed

abc: 3.6715 3.6715 6.1519
angles: 73.35 73.35 58.32
Last column: nearest neighbours and their distance in Å.
Positions (direct):
Mo (0.2500, 0.2500, 0.2500)  6 P 2.50
P (0.9958, 0.9958, 0.0164)  3 Mo 2.50, 3 Sc 2.61-2.62
P (0.5042, 0.5042, 0.4836)  3 Mo 2.50, 3 Sc 2.61-2.62
Sc (0.7500, 0.7500, 0.7500)  6 P 2.61-2.62

Results
Total moment in Bohr magnetons per cell: 0.56
E in eV/atom: -7.7531
Formation energy in eV per atom: -0.76

***

SrZr2Hg | GGA-PBE | relaxed

abc: 3.2816 3.2816 9.9463
angles: 90.00 90.00 89.98
Last column: nearest neighbours and their distance in Å.
Positions (direct):
Zr (0.0000, 0.0000, 0.4538)  4 Hg 3.08, 4 Zr 3.28
Zr (0.0000, 0.0000, 0.0462)  4 Hg 3.08, 4 Zr 3.28
Hg (0.5000, 0.5000, 0.2500)  8 Zr 3.08, 4 Hg 3.28
Sr (0.5000, 0.5000, 0.7500)  4 Sr 3.28

Results
Total moment in Bohr magnetons per cell: 0.69
E in eV/atom: -4.4854
Formation energy in eV per atom: 0.28

***

KCuAg2Cl4 | GGA-PBE | relaxed

abc: 7.0278 7.0278 6.3904
angles: 123.35 123.35 90.01
Last column: nearest neighbours and their distance in Å.
Positions (direct):
Cl (0.4494, 0.8510, 0.3004)  1 Cu 2.34
Cl (0.1491, 0.1491, 0.7011)  1 Cu 2.33
Cl (0.5520, 0.5520, 0.7011)  1 Cu 2.33
Cl (0.8510, 0.4494, 0.3004)  1 Cu 2.34
K (0.0007, 0.0007, 0.0015)  8 Cl 3.20-3.45
Ag (0.7498, 0.2498, 0.4995)  4 Cl 2.66
Ag (0.2498, 0.7498, 0.4995)  4 Cl 2.66
Cu (0.4985, 0.4985, 0.9969)  4 Cl 2.33-2.34

Results
Total moment in Bohr magnetons per cell: 0.14
Formation energy (no corrections) in eV/atom: -0.804
E in eV/atom: -3.0895

***

LaSi3 | GGA-PBE | relaxed

abc: 4.8856 4.8856 4.8856
angles: 60.00 60.00 60.00
Last column: nearest neighbours and their distance in Å.
Positions (direct):
Si (0.5000, 0.5000, 0.5000)  8 Si 2.99
Si (0.7500, 0.7500, 0.7500)  4 Si 2.99, 4 La 2.99
Si (0.2500, 0.2500, 0.2500)  4 La 2.99, 4 Si 2.99
La (0.0000, 0.0000, 0.0000)  8 Si 2.99

Results
Total moment in Bohr magnetons per cell: 0.00
Formation energy (no corrections) in eV/atom: 0.205
E in eV/atom: -5.0937

***

MgPH2 | GGA-PBE | relaxed

abc: 3.8007 3.8007 3.8007
angles: 60.00 60.00 60.00
Last column: nearest neighbours and their distance in Å.
Positions (direct):
H (0.2500, 0.2500, 0.2500)  4 Mg 2.33, 4 P 2.33
P (0.5000, 0.5000, 0.5000)  8 H 2.33
Mg (0.0000, 0.0000, 0.0000)  8 H 2.33
H (0.7500, 0.7500, 0.7500)  4 Mg 2.33, 4 P 2.33

Results
Total moment in Bohr magnetons per cell: 0.00
E in eV/atom: -2.9959

***

TiTc2Mo | GGA-PBE | relaxed

abc: 3.1184 4.3987 4.3987
angles: 90.00 90.00 90.00
Last column: nearest neighbours and their distance in Å.
Positions (direct):
Ti (0.5000, 0.0000, 0.0000)  8 Tc 2.70
Tc (0.0000, 0.0000, 0.5000)  4 Mo 2.70, 4 Ti 2.70
Mo (0.5000, 0.5000, 0.5000)  8 Tc 2.70
Tc (0.0000, 0.5000, 0.0000)  4 Ti 2.70, 4 Mo 2.70

Results
Total moment in Bohr magnetons per cell: 0.00
E in eV/atom: -10.1980
Formation energy in eV per atom: -0.33

***

AlNi3 | GGA-PBE | relaxed

abc: 4.6567 4.6567 4.6567
angles: 116.81 116.81 116.81
Last column: nearest neighbours and their distance in Å.
Positions (direct):
Ni (0.5000, 0.5000, 0.0000)  6 Ni 2.44-2.53, 2 Al 2.44
Ni (0.5000, 0.0000, 0.5000)  2 Al 2.44, 6 Ni 2.44-2.53
Ni (0.0000, 0.5000, 0.5000)  6 Ni 2.44-2.53, 2 Al 2.44
Al (0.0000, 0.0000, 0.0000)  6 Ni 2.44, 2 Al 2.53

Results
Total moment in Bohr magnetons per cell: 0.00
E in eV/atom: -5.5308
Formation energy in eV per atom: -0.26

***

ThMnAl2 | GGA-PBE | relaxed

abc: 3.1946 3.1946 7.4159
angles: 90.00 90.00 90.00
Last column: nearest neighbours and their distance in Å.
Positions (direct):
Al (0.0000, 0.0000, 0.1858)  4 Mn 2.65, 1 Al 2.76
Th (0.5000, 0.5000, 0.5000)  4 Th 3.19, 8 Al 3.25
Al (0.0000, 0.0000, 0.8142)  4 Mn 2.65, 1 Al 2.76
Mn (0.5000, 0.5000, 0.0000)  8 Al 2.65

Results
Total moment in Bohr magnetons per cell: 2.60
E in eV/atom: -6.1776
Formation energy in eV per atom: -0.16

***

K4Zr3NiS8 | GGA-PBE | relaxed

abc: 7.5615 8.5398 7.5656
angles: 116.31 119.98 90.00
Last column: nearest neighbours and their distance in Å.
Positions (direct):
S (0.2279, 0.6911, 0.9631)  1 Ni 2.57, 2 Zr 2.61
S (0.7714, 0.3084, 0.5429)  1 Ni 2.58, 2 Zr 2.61
S (0.7721, 0.3089, 0.0369)  1 Ni 2.57, 2 Zr 2.61
S (0.2286, 0.6916, 0.4571)  1 Ni 2.58, 2 Zr 2.61
K (0.0000, 0.0000, 0.0000)  6 S 3.10-3.14
S (0.7337, 0.7012, 0.4674)  3 Zr 2.64
Zr (0.0000, 0.5000, 0.5000)  6 S 2.61-2.64
Zr (0.5000, 0.5000, 0.0000)  6 S 2.61-2.64
S (0.7351, 0.6911, 0.9631)  1 Ni 2.57, 2 Zr 2.61
S (0.2663, 0.2988, 0.5326)  3 Zr 2.64
K (0.0000, 0.0000, 0.5000)  6 S 3.09-3.14
Ni (0.0000, 0.5000, 0.0000)  6 S 2.57-2.58
S (0.2649, 0.3089, 0.0369)  1 Ni 2.57, 2 Zr 2.61
K (0.5000, 0.0000, 0.5000)  6 S 3.09-3.14
Zr (0.5000, 0.5000, 0.5000)  6 S 2.61-2.64
K (0.5000, 0.0000, 0.0000)  6 S 3.16-3.17

Results
Total moment in Bohr magnetons per cell: 1.38
Formation energy (no corrections) in eV/atom: -1.288
E in eV/atom: -5.5906